A plane-wave DFT calculation with PBE-GGA was carried out for a relaxed structure of RbNbCd.

Properties
Polymorph energy (0 for the lowest one) = 133.4 kJ/mol of atoms

CIF file:
```
data_RbNbCd
_space_group_name_H-M_alt 'P 63/m m c'
_space_group_IT_number 194
_space_group_name_Hall '-P 6c 2c'
_cell_length_a 6.1678
_cell_length_b 6.1678
_cell_length_c 11.4500
_cell_angle_alpha 90.00
_cell_angle_beta 90.00
_cell_angle_gamma 120.00
loop_
_atom_site_label
_atom_site_type_symbol
_atom_site_fract_x
_atom_site_fract_y
_atom_site_fract_z
Rb1 Rb 0.3333 0.6667 0.2500
Nb1 Nb 0.0000 0.0000 0.0000
Cd1 Cd 0.0000 0.0000 0.2500
```



A plane-wave DFT calculation with PBE-GGA was carried out for a relaxed structure of ErTm4Ru2.

CIF file:
```
data_ErTm4Ru2
_space_group_name_H-M_alt 'P 1 21/m 1'
_space_group_IT_number 11
_space_group_name_Hall '-P 2yb'
_cell_length_a 7.6724
_cell_length_b 6.2188
_cell_length_c 7.8254
_cell_angle_alpha 90.00
_cell_angle_beta 112.48
_cell_angle_gamma 90.00
loop_
_atom_site_label
_atom_site_type_symbol
_atom_site_fract_x
_atom_site_fract_y
_atom_site_fract_z
Er1 Er 0.0246 0.2500 0.1636
Tm1 Tm 0.2416 0.5012 0.5844
Tm2 Tm 0.3269 0.7500 0.2495
Tm3 Tm 0.3797 0.2500 0.0202
Ru1 Ru 0.0237 0.2500 0.7433
Ru2 Ru 0.4151 0.2500 0.3758
```



Computed values of D(E_F) (unit: states/eV per cell) for the preceding records, in sequence: 7.89 12.19.
Computed values of energy of formation from the pure elements (unit: eV/atom) for the preceding records, in sequence: 1.69 -0.31.
Computed values of magnetic moment (unit: μB/cell) for the preceding records, in sequence: 10.238 0.000.